Below is Zr3BeF after structural relaxation, with properties calculated at the PBE level.

Cell lengths 4.4651, 4.4651, 4.4651 Å; angles 90.00, 90.00, 90.00 degrees
Atoms (fractional coordinates):
Zr 0.0000 0.0000 0.5000
Zr 0.0000 0.5000 0.0000
Zr 0.5000 0.0000 0.0000
Be 0.5000 0.5000 0.5000
F 0.0000 0.0000 0.0000

Computed properties:
- Crystal system: cubic
- Volume: 89.0 Å³/f.u.
- SG: Pm-3m (221)
- Formation energy (no corrections): -0.348 eV/atom
- M_tot: 0.000 Bohr magnetons per cell
- E above lowest polymorph: 0.0 kJ/mol of atoms


Below is SrMnW3 after structural relaxation, with properties calculated at the PBE level.

Cell lengths 4.6598, 4.6598, 4.6598 Å; angles 90.00, 90.00, 90.00 degrees
Atoms (fractional coordinates):
Sr 0.0000 0.0000 0.0000
Mn 0.5000 0.5000 0.5000
W 0.0000 0.5000 0.5000
W 0.5000 0.0000 0.5000
W 0.5000 0.5000 0.0000

Computed properties:
- Crystal system: cubic
- Volume: 101.2 Å³/f.u.
- SG: Pm-3m (221)
- M_tot: 0.689 Bohr magnetons per cell
- E above lowest polymorph: 0.0 kJ/mol of atoms